1.
Compound: ZnCdPt2
Source: Alexandria
Functional: PBE-GGA
Structure: relaxed

```
data_ZnCdPt2
_chemical_formula_sum 'Zn1 Cd1 Pt2'
_space_group_name_H-M_alt 'P 1'
_space_group_IT_number 1
_space_group_name_Hall 'P 1'
_cell_length_a 9.4003
_cell_length_b 9.4003
_cell_length_c 9.4003
_cell_angle_alpha 17.55
_cell_angle_beta 17.55
_cell_angle_gamma 17.55
loop_
_atom_site_label
_atom_site_type_symbol
_atom_site_fract_x
_atom_site_fract_y
_atom_site_fract_z
Pt1 Pt 0.9981 0.9981 0.9981
Zn1 Zn 0.5059 0.5059 0.5059
Cd1 Cd 0.7501 0.7501 0.7501
Pt2 Pt 0.2459 0.2459 0.2459
```

Results
* V: 16.48 Å³ per atom
* DFT formation energy: -0.169 eV per atom

2.
Compound: ZnCd4Pt15
Source: Alexandria
Functional: PBE-GGA
Structure: relaxed

```
data_ZnCd4Pt15
_chemical_formula_sum 'Zn1 Cd4 Pt15'
_space_group_name_H-M_alt 'P 1'
_space_group_IT_number 1
_space_group_name_Hall 'P 1'
_cell_length_a 4.0099
_cell_length_b 4.0099
_cell_length_c 20.1959
_cell_angle_alpha 90.00
_cell_angle_beta 90.00
_cell_angle_gamma 90.00
loop_
_atom_site_label
_atom_site_type_symbol
_atom_site_fract_x
_atom_site_fract_y
_atom_site_fract_z
Pt1 Pt 0.5000 0.0000 0.9061
Pt2 Pt 0.5000 0.5000 0.0000
Pt3 Pt 0.0000 0.5000 0.5000
Pt4 Pt 0.5000 0.0000 0.2973
Pt5 Pt 0.5000 0.0000 0.5000
Pt6 Pt 0.5000 0.5000 0.3987
Cd1 Cd 0.0000 0.0000 0.3986
Zn1 Zn 0.0000 0.0000 0.0000
Pt7 Pt 0.5000 0.5000 0.1958
Pt8 Pt 0.0000 0.5000 0.7027
Cd2 Cd 0.0000 0.0000 0.6014
Pt9 Pt 0.5000 0.0000 0.7027
Pt10 Pt 0.0000 0.5000 0.0939
Pt11 Pt 0.0000 0.5000 0.2973
Cd3 Cd 0.0000 0.0000 0.8042
Cd4 Cd 0.0000 0.0000 0.1958
Pt12 Pt 0.5000 0.5000 0.6013
Pt13 Pt 0.0000 0.5000 0.9061
Pt14 Pt 0.5000 0.0000 0.0939
Pt15 Pt 0.5000 0.5000 0.8042
```

Results
* V: 16.24 Å³ per atom
* DFT formation energy: -0.211 eV per atom

Look up the DFT formation energy of the first one. -0.169 eV per atom

Number 1 is which compound? ZnCdPt2

Copy entry 2 word for word.
Compound: ZnCd4Pt15
Source: Alexandria
Functional: PBE-GGA
Structure: relaxed

```
data_ZnCd4Pt15
_chemical_formula_sum 'Zn1 Cd4 Pt15'
_space_group_name_H-M_alt 'P 1'
_space_group_IT_number 1
_space_group_name_Hall 'P 1'
_cell_length_a 4.0099
_cell_length_b 4.0099
_cell_length_c 20.1959
_cell_angle_alpha 90.00
_cell_angle_beta 90.00
_cell_angle_gamma 90.00
loop_
_atom_site_label
_atom_site_type_symbol
_atom_site_fract_x
_atom_site_fract_y
_atom_site_fract_z
Pt1 Pt 0.5000 0.0000 0.9061
Pt2 Pt 0.5000 0.5000 0.0000
Pt3 Pt 0.0000 0.5000 0.5000
Pt4 Pt 0.5000 0.0000 0.2973
Pt5 Pt 0.5000 0.0000 0.5000
Pt6 Pt 0.5000 0.5000 0.3987
Cd1 Cd 0.0000 0.0000 0.3986
Zn1 Zn 0.0000 0.0000 0.0000
Pt7 Pt 0.5000 0.5000 0.1958
Pt8 Pt 0.0000 0.5000 0.7027
Cd2 Cd 0.0000 0.0000 0.6014
Pt9 Pt 0.5000 0.0000 0.7027
Pt10 Pt 0.0000 0.5000 0.0939
Pt11 Pt 0.0000 0.5000 0.2973
Cd3 Cd 0.0000 0.0000 0.8042
Cd4 Cd 0.0000 0.0000 0.1958
Pt12 Pt 0.5000 0.5000 0.6013
Pt13 Pt 0.0000 0.5000 0.9061
Pt14 Pt 0.5000 0.0000 0.0939
Pt15 Pt 0.5000 0.5000 0.8042
```

Results
* V: 16.24 Å³ per atom
* DFT formation energy: -0.211 eV per atom